Run a
# Ba2NaCr

Crystalline Ba2NaCr at its relaxed geometry (PBE-GGA, the Alexandria database).

M_tot   8.73 μB/cell

```
data_Ba2NaCr
_symmetry_space_group_name_H-M 'P 1'
_symmetry_Int_Tables_number 1
_symmetry_space_group_name_Hall 'P 1'
_cell_length_a 7.8174
_cell_length_b 7.8174
_cell_length_c 7.8174
_cell_angle_alpha 104.10
_cell_angle_beta 104.10
_cell_angle_gamma 120.84
loop_
_atom_site_label
_atom_site_type_symbol
_atom_site_fract_x
_atom_site_fract_y
_atom_site_fract_z
Ba1 Ba 0.0993 0.6250 0.9743
Ba2 Ba 0.3750 0.3493 0.4743
Ba3 Ba 0.6507 0.1250 0.0257
Ba4 Ba 0.8750 0.9007 0.5257
Na1 Na 0.2500 0.7500 0.5000
Na2 Na 0.5000 0.5000 0.0000
Cr1 Cr 0.0000 0.0000 0.0000
Cr2 Cr 0.7500 0.2500 0.5000
```



Run b
# Ba2NaCr

Crystalline Ba2NaCr at its relaxed geometry (PBE-GGA, the Alexandria database).

M_tot   5.32 μB/cell

```
data_Ba2NaCr
_symmetry_space_group_name_H-M 'P 1'
_symmetry_Int_Tables_number 1
_symmetry_space_group_name_Hall 'P 1'
_cell_length_a 6.2115
_cell_length_b 6.2115
_cell_length_c 6.2115
_cell_angle_alpha 60.00
_cell_angle_beta 60.00
_cell_angle_gamma 60.00
loop_
_atom_site_label
_atom_site_type_symbol
_atom_site_fract_x
_atom_site_fract_y
_atom_site_fract_z
Ba1 Ba 0.2500 0.2500 0.2500
Ba2 Ba 0.7500 0.7500 0.7500
Na1 Na 0.0000 0.0000 0.0000
Cr1 Cr 0.5000 0.5000 0.5000
```



Which structure is most stable, and how do the rest compare? From most to least stable: run b, run a.



Run a
# BaNa2Cr

Crystalline BaNa2Cr at its relaxed geometry (PBE-GGA, the Alexandria database).

M_tot   4.71 μB/cell

```
data_BaNa2Cr
_symmetry_space_group_name_H-M 'P 1'
_symmetry_Int_Tables_number 1
_symmetry_space_group_name_Hall 'P 1'
_cell_length_a 5.8463
_cell_length_b 5.8463
_cell_length_c 5.8463
_cell_angle_alpha 60.00
_cell_angle_beta 60.00
_cell_angle_gamma 60.00
loop_
_atom_site_label
_atom_site_type_symbol
_atom_site_fract_x
_atom_site_fract_y
_atom_site_fract_z
Ba1 Ba 0.0000 0.0000 0.0000
Na1 Na 0.2500 0.2500 0.2500
Na2 Na 0.7500 0.7500 0.7500
Cr1 Cr 0.5000 0.5000 0.5000
```



Run b
# BaNa2Cr

Crystalline BaNa2Cr at its relaxed geometry (PBE-GGA, the Alexandria database).

M_tot   9.43 μB/cell

```
data_BaNa2Cr
_symmetry_space_group_name_H-M 'P 1'
_symmetry_Int_Tables_number 1
_symmetry_space_group_name_Hall 'P 1'
_cell_length_a 13.2417
_cell_length_b 13.2417
_cell_length_c 13.2417
_cell_angle_alpha 158.69
_cell_angle_beta 158.69
_cell_angle_gamma 30.31
loop_
_atom_site_label
_atom_site_type_symbol
_atom_site_fract_x
_atom_site_fract_y
_atom_site_fract_z
Ba1 Ba 0.0000 0.0000 0.0000
Ba2 Ba 0.7500 0.2500 0.5000
Na1 Na 0.1687 0.6250 0.0437
Na2 Na 0.3750 0.4187 0.5437
Na3 Na 0.5813 0.1250 0.9563
Na4 Na 0.8750 0.8313 0.4563
Cr1 Cr 0.2500 0.7500 0.5000
Cr2 Cr 0.5000 0.5000 0.0000
```



Which structure is most stable, and how do the rest compare? From most to least stable: run a, run b.



Run a
# BaNaCr2

Crystalline BaNaCr2 at its relaxed geometry (PBE-GGA, the Alexandria database).

M_tot   9.62 μB/cell

```
data_BaNaCr2
_symmetry_space_group_name_H-M 'P 1'
_symmetry_Int_Tables_number 1
_symmetry_space_group_name_Hall 'P 1'
_cell_length_a 5.6474
_cell_length_b 5.6474
_cell_length_c 5.6474
_cell_angle_alpha 60.00
_cell_angle_beta 60.00
_cell_angle_gamma 60.00
loop_
_atom_site_label
_atom_site_type_symbol
_atom_site_fract_x
_atom_site_fract_y
_atom_site_fract_z
Ba1 Ba 0.0000 0.0000 0.0000
Na1 Na 0.5000 0.5000 0.5000
Cr1 Cr 0.2500 0.2500 0.2500
Cr2 Cr 0.7500 0.7500 0.7500
```



Run b
# BaNaCr2

Crystalline BaNaCr2 at its relaxed geometry (PBE-GGA, the Alexandria database).

M_tot   18.69 μB/cell

```
data_BaNaCr2
_symmetry_space_group_name_H-M 'P 1'
_symmetry_Int_Tables_number 1
_symmetry_space_group_name_Hall 'P 1'
_cell_length_a 7.0624
_cell_length_b 7.0624
_cell_length_c 7.0624
_cell_angle_alpha 102.20
_cell_angle_beta 102.20
_cell_angle_gamma 125.27
loop_
_atom_site_label
_atom_site_type_symbol
_atom_site_fract_x
_atom_site_fract_y
_atom_site_fract_z
Ba1 Ba 0.0000 0.0000 0.0000
Ba2 Ba 0.7500 0.2500 0.5000
Na1 Na 0.2500 0.7500 0.5000
Na2 Na 0.5000 0.5000 0.0000
Cr1 Cr 0.1488 0.6250 0.0238
Cr2 Cr 0.3750 0.3988 0.5238
Cr3 Cr 0.6012 0.1250 0.9762
Cr4 Cr 0.8750 0.8512 0.4762
```



Which structure is most stable, and how do the rest compare? From most to least stable: run a, run b.



Run a
# BaNbCr3

Crystalline BaNbCr3 at its relaxed geometry (PBE-GGA, the Alexandria database).

M_tot   8.85 μB/cell

```
data_BaNbCr3
_symmetry_space_group_name_H-M 'P 1'
_symmetry_Int_Tables_number 1
_symmetry_space_group_name_Hall 'P 1'
_cell_length_a 4.9792
_cell_length_b 4.9792
_cell_length_c 4.9792
_cell_angle_alpha 90.00
_cell_angle_beta 90.00
_cell_angle_gamma 90.00
loop_
_atom_site_label
_atom_site_type_symbol
_atom_site_fract_x
_atom_site_fract_y
_atom_site_fract_z
Ba1 Ba 0.0000 0.0000 0.0000
Nb1 Nb 0.5000 0.5000 0.5000
Cr1 Cr 0.0000 0.5000 0.5000
Cr2 Cr 0.5000 0.0000 0.5000
Cr3 Cr 0.5000 0.5000 0.0000
```



Run b
# BaNbCr3

Crystalline BaNbCr3 at its relaxed geometry (PBE-GGA, the Alexandria database).

M_tot   7.05 μB/cell

```
data_BaNbCr3
_symmetry_space_group_name_H-M 'P 1'
_symmetry_Int_Tables_number 1
_symmetry_space_group_name_Hall 'P 1'
_cell_length_a 4.8995
_cell_length_b 4.8995
_cell_length_c 4.8995
_cell_angle_alpha 90.00
_cell_angle_beta 90.00
_cell_angle_gamma 90.00
loop_
_atom_site_label
_atom_site_type_symbol
_atom_site_fract_x
_atom_site_fract_y
_atom_site_fract_z
Ba1 Ba 0.0000 0.0000 0.0000
Nb1 Nb 0.5000 0.5000 0.5000
Cr1 Cr 0.0000 0.0000 0.5000
Cr2 Cr 0.0000 0.5000 0.0000
Cr3 Cr 0.5000 0.0000 0.0000
```



Which structure is most stable, and how do the rest compare? From most to least stable: run a, run b.